VASP calculation (PBE) on a relaxed structure of LaWN3.

D(E_F) = 0.213 states/eV/atom
Total moment = 0.00 μB per formula unit
Formation energy (no corrections) = -686 meV/atom

a b c (Å): 12.602 3.763 6.336
angles (deg): 90.00 102.58 90.00
Space group Cm (No. 8)
Symmetry-distinct sites (fractional):
La  0.000  0.000  0.000 [2 per cell]
La  0.225  0.000  0.773 [2 per cell]
W  0.274  0.500  0.246 [2 per cell]
W  0.449  0.000  0.465 [2 per cell]
N  0.111  0.500  0.555 [2 per cell]
N  0.150  0.500  0.013 [2 per cell]
N  0.196  0.500  0.468 [2 per cell]
N  0.329  0.000  0.176 [2 per cell]
N  0.417  0.000  0.740 [2 per cell]
N  0.454  0.500  0.355 [2 per cell]